[1]
# MgH22SO15

Crystalline MgH22SO15 at its relaxed geometry (GGA-PBEsol, the Alexandria database).

```
MgH22SO15
1.0
-2.2071 -3.4981 5.1050
4.3201 -4.2322 2.8736
5.6910 11.9607 10.9208
Mg H S O
2 44 2 30
Cartesian
0.0000 0.0000 0.0000 Mg
2.8455 5.9804 5.4604 Mg
7.7084 6.5560 14.9305 H
0.0955 -2.3257 3.9689 H
2.7879 -4.4832 5.0635 H
5.0160 8.7136 13.8359 H
5.1059 6.2442 15.8350 H
2.6980 -2.0138 3.0644 H
6.0598 9.3228 11.6304 H
1.7441 -5.0924 7.2690 H
6.8861 2.6135 16.8372 H
0.9178 1.6169 2.0622 H
6.6478 4.1549 16.4392 H
1.1561 0.0755 2.4602 H
2.6007 4.3947 10.5815 H
5.2032 -0.1644 8.3179 H
2.1709 4.2392 12.1226 H
5.6330 -0.0088 6.7768 H
3.3336 3.7317 7.0827 H
4.4703 0.4987 11.8167 H
3.1424 5.0318 8.0071 H
4.6615 -0.8015 10.8923 H
5.9079 3.7466 9.5806 H
1.8960 0.4838 9.3188 H
5.2674 2.4505 10.2476 H
2.5365 1.7799 8.6518 H
4.6661 2.7030 12.3800 H
3.1378 1.5274 6.5193 H
3.4406 2.5536 11.4171 H
4.3633 1.6768 7.4823 H
4.3234 8.0076 11.7505 H
3.4805 -3.7772 7.1489 H
5.5123 7.1964 12.4654 H
2.2916 -2.9660 6.4340 H
3.0527 6.3648 9.9156 H
4.7512 -2.1344 8.9838 H
4.3363 5.4404 9.7619 H
3.4676 -1.2100 9.1375 H
6.0664 5.4228 11.0207 H
1.7375 -1.1924 7.8787 H
6.4939 6.0533 9.5957 H
1.3100 -1.8229 9.3036 H
3.4008 4.7102 13.7589 H
4.4031 -0.4799 5.1405 H
4.1167 8.3625 9.2201 H
3.6872 -4.1321 9.6792 H
6.1879 4.6225 13.6987 S
1.6160 -0.3921 5.2007 S
8.4510 7.1969 15.0229 O
-0.6471 -2.9665 3.8765 O
6.5292 10.1005 11.2083 O
1.2747 -5.8701 7.6911 O
6.8252 3.5407 17.1910 O
0.9787 0.6896 1.7084 O
2.1902 3.7445 11.2489 O
5.6137 0.4859 7.6505 O
3.1514 4.7179 7.0562 O
4.6525 -0.4875 11.8432 O
5.7883 2.7650 9.4502 O
2.0156 1.4654 9.4492 O
6.4016 5.2831 15.0056 O
1.4023 -1.0527 3.8938 O
4.9423 3.7920 13.7428 O
2.8616 0.4384 5.1566 O
7.3524 3.7238 13.4100 O
0.4515 0.5066 5.4894 O
6.0683 5.6258 12.6235 O
1.7356 -1.3955 6.2759 O
4.3396 2.1496 11.6219 O
3.4643 2.0808 7.2774 O
5.1470 8.1094 12.2966 O
2.6569 -3.8790 6.6028 O
3.3296 5.4545 9.6212 O
4.4743 -1.2241 9.2782 O
5.9170 5.3664 10.0290 O
1.8869 -1.1361 8.8704 O
2.5098 5.1119 13.5684 O
5.2941 -0.8815 5.3310 O
```

Calculated values
Fermi-level density of states (states/eV per cell): 0.00
Space-group type: P-1 (2)
Total energy (eV/atom): -5.25



[2]
# K5SnAs3

Crystalline K5SnAs3 at its relaxed geometry (GGA-PBEsol, the Alexandria database).

```
K5SnAs3
1.0
-2.9165 7.6014 -1.2070
-8.4310 -2.8571 2.3787
2.9211 3.4055 14.3894
K Sn As
20 4 12
Cartesian
-6.5450 5.5830 4.0982 K
-8.0545 0.7310 5.2519 K
-1.8814 2.5668 11.4629 K
-0.3719 7.4188 10.3092 K
-5.6056 6.6004 8.7115 K
-6.0233 2.9903 15.0484 K
-2.8208 1.5494 6.8497 K
-2.4031 5.1595 0.5127 K
-1.8788 10.1224 12.3656 K
-2.3087 4.9045 8.6061 K
-6.5475 -1.9726 3.1956 K
-6.1177 3.2453 6.9550 K
-1.5722 5.8403 13.5098 K
-2.5332 8.9727 7.4959 K
-6.8541 2.3095 2.0513 K
-5.8932 -0.8229 8.0652 K
-4.6742 0.3182 12.6041 K
-5.1211 4.4933 11.9146 K
-3.7522 7.8316 2.9570 K
-3.3053 3.6565 3.6466 K
-1.2819 6.0686 5.3551 Sn
-3.7521 0.1457 2.0859 Sn
-7.1444 2.0812 10.2061 Sn
-4.6743 8.0041 13.4753 Sn
-8.1091 4.5217 9.4872 As
-2.7074 2.9514 14.6089 As
-0.3173 3.6281 6.0739 As
-5.7190 5.1984 0.9522 As
-3.5486 7.2962 11.2031 As
0.6707 4.3173 10.3105 As
-4.8778 0.8536 4.3580 As
-9.0971 3.8325 5.2506 As
-6.5581 6.3666 14.3418 As
-4.5719 1.9236 9.6246 As
-1.8683 1.7832 1.2193 As
-3.8545 6.2262 5.9365 As
```

Calculated values
Space-group type: P2_1/c (14)
ΔE_f (eV per atom): -0.4318



[3]
# Tc3AgPd

Crystalline Tc3AgPd at its relaxed geometry (GGA-PBEsol, the Alexandria database).

```
Tc3AgPd
1.0
-0.0222 4.5366 0.8130
-1.9243 0.7296 -4.1239
-4.1879 -0.3592 1.8906
Pd Ag Tc
1 1 3
Cartesian
-3.0672 2.4535 -0.7102 Pd
0.0000 0.0000 0.0000 Ag
-0.9621 0.3648 -2.0620 Tc
-2.0940 -0.1796 0.9453 Tc
-0.0111 2.2683 0.4065 Tc
```

Calculated values
Fermi-level density of states (states/eV per cell): 5.68
Space-group type: Pm-3m (221)
ΔE_f (eV per atom): 2.7273



[4]
# CoCu2Os

Crystalline CoCu2Os at its relaxed geometry (GGA-PBEsol, the Alexandria database).

```
CoCu2Os
1.0
2.5623 0.0000 0.0000
-1.2812 4.1697 -0.0079
0.0000 -0.7314 4.4209
Co Cu Os
1 2 1
Cartesian
1.2812 1.8875 1.2278 Co
0.0000 -0.6958 4.3307 Cu
0.0000 1.5292 3.4111 Cu
0.0000 3.7899 2.0671 Os
```

Calculated values
Fermi-level density of states (states/eV per cell): 3.68
Space-group type: Cm (8)
ΔE_f (eV per atom): 0.2579



[5]
# InGaCuO4

Crystalline InGaCuO4 at its relaxed geometry (GGA-PBEsol, the Alexandria database).

```
InGaCuO4
1.0
-2.6442 0.1796 -2.0873
-3.1244 -0.4406 1.1938
-2.5098 7.9678 1.1389
O Cu Ga In
4 1 1 1
Cartesian
-5.9913 2.7951 -0.3484 O
-2.2766 4.7673 0.5680 O
-6.2853 6.8298 0.3712 O
-2.0010 0.9846 -0.1067 O
-6.1451 4.9053 0.0279 Cu
-2.1371 2.8534 0.2266 Ga
-2.5088 7.9528 1.1362 In
```

Calculated values
Fermi-level density of states (states/eV per cell): 2.20
ΔE_f (raw) (eV per atom): -1.349
Space-group type: R3m (160)



[6]
# LiTa2GaC

Crystalline LiTa2GaC at its relaxed geometry (GGA-PBEsol, the Alexandria database).

```
LiTa2GaC
1.0
-2.8497 -2.3420 0.6510
2.4541 -2.1952 2.8455
-1.3977 2.5914 3.2046
C Li Ga Ta
1 1 1 2
Cartesian
-0.8966 -0.9729 3.3506 C
0.0000 0.0000 0.0000 Li
-1.4248 -1.1710 0.3255 Ga
-0.6989 1.2957 1.6023 Ta
1.2271 -1.0976 1.4228 Ta
```

Calculated values
Fermi-level density of states (states/eV per cell): 3.77
Space-group type: P4/mmm (123)
ΔE_f (eV per atom): 1.9059



[7]
# AgP2IrO

Crystalline AgP2IrO at its relaxed geometry (GGA-PBEsol, the Alexandria database).

```
AgP2IrO
1.0
-2.6737 -0.9027 -2.2894
3.2064 -1.9920 -2.9593
-0.5199 -4.1975 2.2622
P Ir O Ag
2 1 1 1
Cartesian
-0.2599 -2.0988 1.1311 P
1.6032 -0.9960 -1.4797 P
0.0000 0.0000 0.0000 Ir
-1.3369 -0.4513 -1.1447 O
0.0064 -3.5461 -1.4933 Ag
```

Calculated values
Fermi-level density of states (states/eV per cell): 3.64
ΔE_f (raw) (eV per atom): 0.345
Space-group type: P4/mmm (123)



[8]
# Cd2Ru

Crystalline Cd2Ru at its relaxed geometry (GGA-PBEsol, the Alexandria database).

```
Cd2Ru
1.0
2.8926 0.0000 0.0000
-1.4463 2.5051 0.0000
0.0000 0.0000 7.1462
Cd Ru
2 1
Cartesian
1.4463 0.8350 2.2545 Cd
0.0000 1.6700 4.8917 Cd
0.0000 0.0000 0.0000 Ru
```

Calculated values
Fermi-level density of states (states/eV per cell): 2.69
Space-group type: P-3m1 (164)
ΔE_f (eV per atom): 0.3524



Number 1: V 8.621 A^3/atom. Number 2: V 31.753 A^3/atom. Number 3: V 19.580 A^3/atom. Number 4: V 11.805 A^3/atom. Number 5: V 11.550 A^3/atom. Number 6: V 14.187 A^3/atom. Number 7: V 16.721 A^3/atom. Number 8: V 17.261 A^3/atom.